Here is an optimized crystal structure of La4PtIBr2 from Alexandria via LeMat-Bulk. Energies are from PBE-GGA.

Lattice parameters (Å, degrees): 7.5142 4.2535 8.2038 90.00 108.16 90.00
With the nearest neighbours (Å) after each atom.
Space group P2/m (No. 10)
Unique sites:
La: 0.2225 0.0000 0.2079 (multiplicity 2)  2 Pt 2.91, 1 Br 3.08
La: 0.2589 0.5000 0.7778 (multiplicity 2)  3 Br 3.01-3.32, 1 Pt 3.05, 2 I 3.28
Pt: 0.0000 0.5000 0.0000 (multiplicity 1)  6 La 2.91-3.05
I: 0.0000 0.0000 0.5000 (multiplicity 1)  6 La 3.28-3.32
Br: 0.5000 0.0000 0.0000 (multiplicity 1)  6 La 3.01-3.08
Br: 0.5000 0.5000 0.5000 (multiplicity 1)  6 La 3.32-3.39

Output
Total DFT energy (no corrections), eV per atom: -5.04
D(E_F), states/eV/atom: 0.80
E_form (uncorrected), eV/atom: -1.209
M_tot, μB/f.u.: 0.00


Here is an optimized crystal structure of La6Pt2I3Br from Alexandria via LeMat-Bulk. Energies are from PBE-GGA.

Lattice parameters (Å, degrees): 7.6965 13.3049 8.2632 90.00 108.01 90.00
With the nearest neighbours (Å) after each atom.
Space group C2/m (No. 12)
Unique sites:
La: 0.2039 0.0000 0.1964 (multiplicity 4)  2 Pt 2.91, 1 Br 3.18
La: 0.2493 0.3188 0.2009 (multiplicity 8)  2 Pt 2.91-2.92, 1 Br 3.21
Pt: 0.0000 0.1676 0.0000 (multiplicity 4)  6 La 2.91-2.92
I: 0.0000 0.0000 0.5000 (multiplicity 2)  6 La 3.35-3.56
I: 0.0000 0.3435 0.5000 (multiplicity 4)  6 La 3.40-3.58
Br: 0.0000 0.5000 0.0000 (multiplicity 2)  6 La 3.18-3.21

Output
Total DFT energy (no corrections), eV per atom: -5.19
D(E_F), states/eV/atom: 0.66
E_form (uncorrected), eV/atom: -1.196
M_tot, μB/f.u.: 0.00


Here is an optimized crystal structure of Rb2LaI6Br from Alexandria via LeMat-Bulk. Energies are from PBE-GGA.

Lattice parameters (Å, degrees): 9.7126 9.7126 11.7930 90.00 90.00 90.00
With the nearest neighbours (Å) after each atom.
Space group I4/mmm (No. 139)
Unique sites:
Rb: 0.0000 0.5000 0.2500 (multiplicity 4)  12 I 4.54-4.86
La: 0.0000 0.0000 0.0000 (multiplicity 2)  6 I 3.12-3.20
I: 0.0000 0.0000 0.2714 (multiplicity 4)  1 Br 2.70
I: 0.2270 0.2270 0.0000 (multiplicity 8)  1 La 3.12
Br: 0.0000 0.0000 0.5000 (multiplicity 2)  2 I 2.70

Output
Total DFT energy (no corrections), eV per atom: -2.86
D(E_F), states/eV/atom: 0.00
E_form (uncorrected), eV/atom: -1.073
M_tot, μB/f.u.: 0.00